No. 1
A plane-wave DFT calculation with PBE-GGA was carried out for an optimized crystal structure of Re2HF.

Results
Volume = 10.99 Å³/atom
Total moment = 0.000 μB per cell
Mass density = 14.829 g/cm3
Space group = Fm-3m, No. 225
Polymorph energy (0 for the lowest one) = 0.784 eV per atom

The structure in extended XYZ format:
```
4
Lattice="0.000 2.801 2.801 2.801 0.000 2.801 2.801 2.801 0.000" Properties=species:S:1:pos:R:3 pbc="T T T"
Re 1.400 1.400 1.400
Re 4.201 4.201 4.201
F 2.801 2.801 2.801
H 0.000 0.000 0.000
```

=====

No. 2
A plane-wave DFT calculation with PBE-GGA was carried out for an optimized crystal structure of ReH3F6.

Results
Volume = 11.92 Å³/atom
Total moment = 4.000 μB per cell
Mass density = 4.223 g/cm3
Space group = R-3, No. 148
E_tot = -4.86 eV per atom

The structure in extended XYZ format:
```
20
Lattice="6.246 -0.388 -0.396 -0.523 6.236 -0.396 -0.523 -0.535 6.226" Properties=species:S:1:pos:R:3 pbc="T T T"
F 5.928 0.123 1.582
F 3.300 1.506 1.156
H 2.647 0.619 0.835
H 2.553 4.695 4.599
F 4.150 1.990 3.902
H 4.437 2.650 4.796
H 4.638 4.539 2.755
F 1.900 3.808 4.277
F -0.006 1.450 5.963
F 3.750 -0.647 5.275
F 1.450 5.961 0.158
F 3.766 4.232 2.076
F 1.050 3.324 1.531
Re 0.000 0.000 0.000
H 0.562 0.775 2.678
F 1.434 1.082 3.357
Re 2.600 2.657 2.717
H 0.763 2.664 0.638
F -0.728 5.191 3.852
F 5.206 3.864 -0.530
```

=====

No. 3
A plane-wave DFT calculation with PBE-GGA was carried out for an optimized crystal structure of ReHF3.

Results
Volume = 13.75 Å³/atom
Total moment = 3.002 μB per cell
Mass density = 5.899 g/cm3
Space group = Pm-3m, No. 221
Polymorph energy (0 for the lowest one) = 0.000 eV per atom

The structure in extended XYZ format:
```
5
Lattice="-1.624 -3.126 2.090 3.182 0.071 2.579 -2.004 2.646 2.401" Properties=species:S:1:pos:R:3 pbc="T T T"
F 1.591 0.035 1.289
Re 0.000 0.000 0.000
F -0.812 -1.563 1.045
H -0.223 -0.205 3.535
F -1.002 1.323 1.200
```

=====

No. 4
A plane-wave DFT calculation with PBE-GGA was carried out for an optimized crystal structure of Re2H2F.

Results
Volume = 11.86 Å³/atom
Total moment = 0.000 μB per cell
Mass density = 11.019 g/cm3
Space group = I4/mmm, No. 139
Polymorph energy (0 for the lowest one) = 0.023 eV per atom

The structure in extended XYZ format:
```
5
Lattice="3.546 0.000 0.000 0.000 3.546 0.000 1.773 1.773 4.716" Properties=species:S:1:pos:R:3 pbc="T T T"
F 0.000 0.000 0.000
H 3.546 3.546 3.391
Re 3.546 1.773 2.358
H 1.773 1.773 1.325
Re 1.773 3.546 2.358
```